Entry 1:
DFT (GGA-PBE) results for La8PrSm2 after structural relaxation.

Cell lengths 5.607, 8.720, 8.720 Å; angles 105.69, 90.08, 90.08 degrees
Element x y z (fractional)
La 0.500 0.666 0.666
La 0.500 0.256 0.744
La 0.999 0.969 0.701
La 0.999 0.701 0.969
La 0.001 0.031 0.299
La 0.500 0.744 0.256
La 0.001 0.299 0.031
La 0.500 0.334 0.334
Sm 0.000 0.382 0.618
Sm 0.000 0.618 0.382
Pr 0.500 0.000 0.000

Output
The calculation puts the total magnetic moment at 0.0 μB/f.u. The calculation puts the energy of formation from the pure elements at 128 meV/atom. The calculation puts the density of states at the Fermi level at 18.945 states/eV/cell. The value obtained for the energy above the most stable polymorph in this dataset is 0.0000 eV per atom.

Entry 2:
DFT (GGA-PBE) results for Er2PuHg after structural relaxation.

Cell lengths 3.484, 3.484, 8.910 Å; angles 90.00, 90.00, 90.00 degrees
Element x y z (fractional)
Er 0.000 0.000 0.772
Er 0.000 0.000 0.228
Pu 0.500 0.500 0.500
Hg 0.500 0.500 0.000

Output
The calculation puts the total magnetic moment at 6.4 μB/f.u. The calculation puts the energy of formation from the pure elements at -145 meV/atom. The calculation puts the density of states at the Fermi level at 8.984 states/eV/cell. The value obtained for the energy above the most stable polymorph in this dataset is 0.0000 eV per atom.

Entry 3:
DFT (GGA-PBE) results for NaCa5Au4 after structural relaxation.

Cell lengths 3.670, 3.670, 20.111 Å; angles 90.00, 90.00, 90.00 degrees
Element x y z (fractional)
Ca 0.500 0.500 0.679
Ca 0.500 0.500 0.145
Ca 0.500 0.500 0.855
Ca 0.500 0.500 0.500
Ca 0.500 0.500 0.321
Au 0.000 0.000 0.590
Au 0.000 0.000 0.410
Au 0.000 0.000 0.772
Au 0.000 0.000 0.228
Na 0.000 0.000 0.000

Output
The calculation puts the total magnetic moment at 0.0 μB/f.u. The calculation puts the energy of formation from the pure elements at -640 meV/atom. The calculation puts the density of states at the Fermi level at 6.622 states/eV/cell.

Entry 4:
DFT (GGA-PBE) results for ThNpO6 after structural relaxation.

Cell lengths 6.041, 6.040, 6.058 Å; angles 60.08, 60.09, 59.99 degrees
Element x y z (fractional)
O 0.245 0.767 0.767
O 0.779 0.755 0.233
O 0.233 0.779 0.232
O 0.221 0.245 0.767
O 0.755 0.233 0.233
O 0.767 0.221 0.768
Th 0.500 0.500 0.500
Np 0.000 0.000 0.000

Output
The calculation puts the uncorrected formation energy at -2660 meV/atom. The calculation puts the total magnetic moment at 0.0 μB/f.u. The calculation puts the density of states at the Fermi level at 10.321 states/eV/cell.

Entry 5:
DFT (GGA-PBE) results for Cr2SbBr after structural relaxation.

Cell lengths 3.462, 3.463, 7.281 Å; angles 90.00, 90.00, 90.00 degrees
Element x y z (fractional)
Br 0.500 0.500 0.750
Cr 0.000 0.000 0.024
Cr 0.000 0.000 0.476
Sb 0.500 0.500 0.250

Output
The calculation puts the uncorrected formation energy at 358 meV/atom. The calculation puts the total magnetic moment at 8.4 μB/f.u. The calculation puts the density of states at the Fermi level at 2.170 states/eV/cell. The value obtained for the energy above the most stable polymorph in this dataset is 0.2814 eV per atom.

Entry 6:
DFT (GGA-PBE) results for Pa3Ga8Cu3 after structural relaxation.

Cell lengths 4.239, 8.030, 8.030 Å; angles 77.40, 74.70, 74.70 degrees
Element x y z (fractional)
Ga 0.867 0.479 0.788
Ga 0.133 0.521 0.212
Ga 0.133 0.212 0.521
Ga 0.867 0.788 0.479
Ga 0.365 0.333 0.937
Ga 0.635 0.063 0.667
Ga 0.365 0.937 0.333
Ga 0.635 0.667 0.063
Pa 0.772 0.228 0.228
Pa 0.500 0.500 0.500
Pa 0.228 0.772 0.772
Cu 0.000 0.138 0.862
Cu 0.000 0.862 0.138
Cu 0.500 0.000 0.000

Output
The calculation puts the total magnetic moment at 0.0 μB/f.u. The calculation puts the energy of formation from the pure elements at -253 meV/atom. The calculation puts the density of states at the Fermi level at 11.379 states/eV/cell.

Entry 7:
DFT (GGA-PBE) results for CsZnGe2 after structural relaxation.

Cell lengths 4.337, 4.337, 7.626 Å; angles 73.48, 73.48, 60.00 degrees
Element x y z (fractional)
Cs 0.000 0.000 0.000
Ge 0.205 0.205 0.385
Ge 0.795 0.795 0.615
Zn 0.500 0.500 0.500

Output
The calculation puts the total magnetic moment at 0.0 μB/f.u. The calculation puts the energy of formation from the pure elements at 39 meV/atom. The calculation puts the density of states at the Fermi level at 2.291 states/eV/cell.

Entry 8:
DFT (GGA-PBE) results for ScTl2Cl after structural relaxation.

Cell lengths 5.194, 5.194, 5.194 Å; angles 60.00, 60.00, 60.00 degrees
Element x y z (fractional)
Tl 0.000 0.000 0.000
Tl 0.250 0.250 0.250
Cl 0.500 0.500 0.500
Sc 0.750 0.750 0.750

Output
The calculation puts the uncorrected formation energy at -232 meV/atom. The calculation puts the total magnetic moment at 0.0 μB/f.u. The calculation puts the density of states at the Fermi level at 1.768 states/eV/cell.